(1)
First-principles (PBE-GGA) data for a relaxed structure of LaTmHfTh, as listed in Alexandria.

Energy relative to the elements ... 0.19 eV per atom
Volume ... 29.5 A^3/atom
Spin magnetization ... 0.00 μB per formula unit

Cell: 7.784 7.784 7.784 Å, 90.00 90.00 90.00°
Space group F-43m (No. 216)
Symmetry-distinct sites (fractional):
1 La 0.000 0.000 0.000
2 Tm 0.250 0.250 0.250
3 Hf 0.250 0.250 0.750
4 Th 0.000 0.000 0.500

=====

(2)
First-principles (PBE-GGA) data for a relaxed structure of Zn2CdPd, as listed in Alexandria.

Energy relative to the elements ... -0.25 eV per atom
Volume ... 16.4 A^3/atom
Spin magnetization ... 0.00 μB per formula unit

Cell: 3.194 3.194 6.433 Å, 90.00 90.00 90.00°
Space group P4/mmm (No. 123)
Symmetry-distinct sites (fractional):
1 Zn 0.000 0.000 0.216
2 Cd 0.500 0.500 0.500
3 Pd 0.500 0.500 0.000

=====

(3)
First-principles (PBE-GGA) data for a relaxed structure of CaTl2C2O6, as listed in Alexandria.

Formation energy without anion corrections ... -160 kJ/mol of atoms
Volume ... 16.1 A^3/atom
Spin magnetization ... 0.00 μB per formula unit

Cell: 5.4755 5.4755 20.4335 Å, 90.00 90.00 120.00°
Space group R-3m (No. 166, hexagonal axes)
Symmetry-distinct sites (fractional):
1 Ca 0.0000 0.0000 0.0000
2 Tl 0.0000 0.0000 0.2139
3 C 0.0000 0.0000 0.4022
4 O 0.0593 0.5297 0.2639

=====

(4)
First-principles (PBE-GGA) data for a relaxed structure of Pm12Er5Tl2, as listed in Alexandria.

Energy relative to the elements ... 0.02 eV per atom
Volume ... 32.7 A^3/atom
Spin magnetization ... 0.00 μB per formula unit

Cell: 15.457 9.378 8.575 Å, 90.00 92.96 90.00°
Space group C2/m (No. 12)
Symmetry-distinct sites (fractional):
1 Pm 0.056 0.000 0.319
2 Pm 0.084 0.500 0.885
3 Pm 0.123 0.195 0.655
4 Pm 0.151 0.315 0.235
5 Er 0.000 0.500 0.500
6 Er 0.185 0.000 0.004
7 Er 0.233 0.500 0.586
8 Tl 0.000 0.183 0.000

=====

(5)
First-principles (PBE-GGA) data for a relaxed structure of YIrSe2Br, as listed in Alexandria.

Formation energy without anion corrections ... -28 kJ/mol of atoms
Excess energy over the best structure of this formula in the dataset ... 0 meV per atom
Volume ... 24.3 A^3/atom
Spin magnetization ... 0.00 μB per formula unit

Cell: 5.005 5.005 4.859 Å, 90.00 90.00 90.00°
Space group P4/mmm (No. 123)
Symmetry-distinct sites (fractional):
1 Y 0.000 0.000 0.000
2 Ir 0.500 0.500 0.500
3 Se 0.000 0.500 0.500
4 Br 0.500 0.500 0.000

=====

(6)
First-principles (PBE-GGA) data for a relaxed structure of Pr4MgSe5, as listed in Alexandria.

Formation energy without anion corrections ... -162 kJ/mol of atoms
Excess energy over the best structure of this formula in the dataset ... 15 meV per atom
Volume ... 26.4 A^3/atom
Spin magnetization ... 0.00 μB per formula unit

Cell: 9.399 9.399 5.983 Å, 90.00 90.00 90.00°
Space group I4 (No. 79)
Symmetry-distinct sites (fractional):
1 Pr 0.093 0.306 0.000
2 Mg 0.000 0.000 0.476
3 Se 0.000 0.000 0.003
4 Se 0.096 0.276 0.500

=====

(7)
First-principles (PBE-GGA) data for a relaxed structure of Cs4SeCl2, as listed in Alexandria.

Formation energy without anion corrections ... -134 kJ/mol of atoms
Volume ... 61.7 A^3/atom
Spin magnetization ... 0.00 μB per formula unit

Cell: 6.826 6.826 18.528 Å, 90.00 90.00 90.00°
Space group I4/mmm (No. 139)
Symmetry-distinct sites (fractional):
1 Cs 0.000 0.000 0.183
2 Cs 0.000 0.500 0.000
3 Se 0.000 0.000 0.000
4 Cl 0.000 0.000 0.363

=====

(8)
First-principles (PBE-GGA) data for a relaxed structure of V6ReTc2, as listed in Alexandria.

Energy relative to the elements ... 0.48 eV per atom
Excess energy over the best structure of this formula in the dataset ... 748 meV per atom
Volume ... 16.6 A^3/atom
Spin magnetization ... 0.00 μB per formula unit

Cell: 12.954 5.870 4.132 Å, 90.00 108.33 90.00°
Space group C2/m (No. 12)
Symmetry-distinct sites (fractional):
1 V 0.000 0.249 0.000
2 V 0.167 0.250 0.667
3 Re 0.000 0.500 0.500
4 Tc 0.167 0.000 0.167

=====

(9)
First-principles (PBE-GGA) data for a relaxed structure of NaGeBi, as listed in Alexandria.

Energy relative to the elements ... -0.10 eV per atom
Excess energy over the best structure of this formula in the dataset ... 0 meV per atom
Volume ... 30.5 A^3/atom
Spin magnetization ... 0.00 μB per formula unit

Cell: 4.2489 4.2489 17.5430 Å, 90.00 90.00 120.00°
Space group R3m (No. 160, hexagonal axes)
Symmetry-distinct sites (fractional):
1 Na 0.0000 0.0000 0.0000
2 Ge 0.0000 0.0000 0.2173
3 Bi 0.0000 0.0000 0.8027

=====

(10)
First-principles (PBE-GGA) data for a relaxed structure of NaAg6F8, as listed in Alexandria.

Formation energy without anion corrections ... -114 kJ/mol of atoms
Volume ... 15.3 A^3/atom
Spin magnetization ... 0.00 μB per formula unit

Cell: 8.4271 8.4271 3.7389 Å, 90.00 90.00 120.00°
Space group P-3 (No. 147)
Symmetry-distinct sites (fractional):
1 Na 0.0000 0.0000 0.0000
2 Ag 0.1296 0.4575 0.7169
3 F 0.0060 0.2831 0.2246
4 F 0.3333 0.6667 0.2030

=====

(11)
First-principles (PBE-GGA) data for a relaxed structure of KMnW2, as listed in Alexandria.

Energy relative to the elements ... 0.97 eV per atom
Excess energy over the best structure of this formula in the dataset ... 135 meV per atom
Volume ... 18.8 A^3/atom
Spin magnetization ... 0.00 μB per formula unit

Cell: 2.759 2.759 9.879 Å, 90.00 90.00 90.00°
Space group P4/mmm (No. 123)
Symmetry-distinct sites (fractional):
1 K 0.000 0.000 0.000
2 Mn 0.000 0.000 0.500
3 W 0.500 0.500 0.326

=====

(12)
First-principles (PBE-GGA) data for a relaxed structure of LaFePt2, as listed in Alexandria.

Energy relative to the elements ... -0.46 eV per atom
Excess energy over the best structure of this formula in the dataset ... 215 meV per atom
Volume ... 19.0 A^3/atom
Spin magnetization ... 3.62 μB per formula unit

Cell: 3.308 3.308 6.948 Å, 90.00 90.00 90.00°
Space group P4/mmm (No. 123)
Symmetry-distinct sites (fractional):
1 La 0.000 0.000 0.000
2 Fe 0.000 0.000 0.500
3 Pt 0.500 0.500 0.302

=====

(13)
First-principles (PBE-GGA) data for a relaxed structure of LiBeIn2, as listed in Alexandria.

Energy relative to the elements ... 0.18 eV per atom
Volume ... 18.6 A^3/atom
Spin magnetization ... 0.00 μB per formula unit

Cell: 4.116 4.116 8.803 Å, 90.00 90.00 90.00°
Space group I-4m2 (No. 119)
Symmetry-distinct sites (fractional):
1 Li 0.000 0.000 0.000
2 Be 0.000 0.500 0.750
3 In 0.000 0.000 0.500
4 In 0.000 0.500 0.250

=====

(14)
First-principles (PBE-GGA) data for a relaxed structure of KCrGa2Br8, as listed in Alexandria.

Formation energy without anion corrections ... -81 kJ/mol of atoms
Volume ... 33.3 A^3/atom
Spin magnetization ... 5.00 μB per formula unit

Cell: 6.8217 6.8217 29.7658 Å, 90.00 90.00 120.00°
Space group R-3 (No. 148, hexagonal axes)
Symmetry-distinct sites (fractional):
1 K 0.0000 0.0000 0.0000
2 Cr 0.0000 0.0000 0.5000
3 Ga 0.0000 0.0000 0.2473
4 Br 0.0000 0.0000 0.3272
5 Br 0.0007 0.3295 0.4441

=====

(15)
First-principles (PBE-GGA) data for a relaxed structure of Pm7AuS5, as listed in Alexandria.

Formation energy without anion corrections ... -164 kJ/mol of atoms
Volume ... 25.0 A^3/atom
Spin magnetization ... 0.00 μB per formula unit

Cell: 4.006 24.327 6.961 Å, 90.00 106.61 90.00°
Space group P2_1/m (No. 11)
Symmetry-distinct sites (fractional):
1 Pm 0.033 0.250 0.063
2 Pm 0.136 0.537 0.274
3 Pm 0.315 0.175 0.630
4 Pm 0.411 0.606 0.823
5 Au 0.296 0.750 0.595
6 S 0.046 0.642 0.094
7 S 0.226 0.070 0.451
8 S 0.500 0.000 0.000

=====

(16)
First-principles (PBE-GGA) data for a relaxed structure of Li2SmAlF8, as listed in Alexandria.

Formation energy without anion corrections ... -334 kJ/mol of atoms
Volume ... 12.2 A^3/atom
Spin magnetization ... 0.00 μB per formula unit

Cell: 4.670 4.707 6.669 Å, 87.90 88.38 87.73°
Space group P-1 (No. 2)
Symmetry-distinct sites (fractional):
1 Li 0.022 0.022 0.297
2 Sm 0.500 0.500 0.000
3 Al 0.500 0.500 0.500
4 F 0.170 0.186 0.033
5 F 0.229 0.235 0.505
6 F 0.305 0.690 0.706
7 F 0.315 0.700 0.291

=====

(17)
First-principles (PBE-GGA) data for a relaxed structure of SnAsOsAuCl, as listed in Alexandria.

Formation energy without anion corrections ... 7 kJ/mol of atoms
Excess energy over the best structure of this formula in the dataset ... 39 meV per atom
Volume ... 23.2 A^3/atom
Spin magnetization ... 0.00 μB per formula unit

Cell: 3.260 4.384 8.988 Å, 103.26 90.89 111.14°
Space group P1 (No. 1)
Symmetry-distinct sites (fractional):
1 Sn 0.000 0.000 0.000
2 As 0.435 0.860 0.316
3 Os 0.764 0.523 0.148
4 Au 0.714 0.452 0.466
5 Cl 0.949 0.909 0.706

=====

(18)
First-principles (PBE-GGA) data for a relaxed structure of ReAgP, as listed in Alexandria.

Energy relative to the elements ... 0.12 eV per atom
Excess energy over the best structure of this formula in the dataset ... 82 meV per atom
Volume ... 16.6 A^3/atom
Spin magnetization ... 0.00 μB per formula unit

Cell: 5.219 2.920 6.771 Å, 90.00 105.31 90.00°
Space group Cm (No. 8)
Symmetry-distinct sites (fractional):
1 Re 0.000 0.000 0.000
2 Ag 0.466 0.000 0.370
3 P 0.093 0.500 0.755

=====

(19)
First-principles (PBE-GGA) data for a relaxed structure of Tm3In2Au2, as listed in Alexandria.

Energy relative to the elements ... -0.64 eV per atom
Volume ... 23.9 A^3/atom
Spin magnetization ... 0.00 μB per formula unit

Cell: 4.450 21.583 3.483 Å, 90.00 90.00 90.00°
Space group Cmmm (No. 65)
Symmetry-distinct sites (fractional):
1 Tm 0.000 0.000 0.000
2 Tm 0.000 0.166 0.000
3 In 0.000 0.423 0.500
4 Au 0.000 0.289 0.500

=====

(20)
First-principles (PBE-GGA) data for a relaxed structure of Rb4SbRhCl12, as listed in Alexandria.

Formation energy without anion corrections ... -125 kJ/mol of atoms
Volume ... 30.6 A^3/atom
Spin magnetization ... 0.30 μB per formula unit

Cell: 7.209 7.209 10.615 Å, 90.00 90.00 90.00°
Space group P4/mmm (No. 123)
Symmetry-distinct sites (fractional):
1 Rb 0.000 0.500 0.215
2 Sb 0.000 0.000 0.500
3 Rh 0.500 0.500 0.000
4 Cl 0.000 0.000 0.269
5 Cl 0.238 0.238 0.500
6 Cl 0.267 0.267 0.000
7 Cl 0.500 0.500 0.224